[1]
{"formula": "Cs3Pm2BiS6", "functional": "PBE", "state": "relaxed", "spacegroup": "C2/m", "dft_energy_ev_per_atom": -4.862, "crystal_system": "monoclinic", "e_form_raw_mev_per_atom": -1469, "lattice": [[3.659, -6.337, 0.000], [3.659, 6.337, 0.000], [-2.439, 0.000, 8.076]], "species": ["Cs", "Cs", "Cs", "Pm", "Pm", "Bi", "S", "S", "S", "S", "S", "S"], "frac_coords": [[0.000, 0.000, 0.000], [0.334, 0.666, 0.000], [0.666, 0.334, 0.000], [0.167, 0.833, 0.500], [0.833, 0.167, 0.500], [0.500, 0.500, 0.500], [0.102, 0.438, 0.313], [0.226, 0.226, 0.687], [0.438, 0.102, 0.313], [0.562, 0.898, 0.687], [0.774, 0.774, 0.313], [0.898, 0.562, 0.687]]}



[2]
{"formula": "Cs4Pm3BiS8", "functional": "PBE", "state": "relaxed", "spacegroup": "R-3m", "dft_energy_ev_per_atom": -4.966, "crystal_system": "trigonal", "e_form_raw_mev_per_atom": -1556, "lattice": [[4.224, 2.439, 8.079], [-4.224, 2.439, 8.079], [0.000, -4.877, 8.079]], "species": ["Cs", "Cs", "Cs", "Cs", "Pm", "Pm", "Pm", "Bi", "S", "S", "S", "S", "S", "S", "S", "S"], "frac_coords": [[0.000, 0.000, 0.000], [0.000, 0.500, 0.500], [0.500, 0.000, 0.500], [0.500, 0.500, 0.000], [0.000, 0.000, 0.500], [0.000, 0.500, 0.000], [0.500, 0.000, 0.000], [0.500, 0.500, 0.500], [0.227, 0.730, 0.730], [0.228, 0.228, 0.228], [0.270, 0.270, 0.773], [0.270, 0.773, 0.270], [0.730, 0.227, 0.730], [0.730, 0.730, 0.227], [0.772, 0.772, 0.772], [0.773, 0.270, 0.270]]}



[3]
{"formula": "Cs3Pm2BiSe6", "functional": "PBE", "state": "relaxed", "spacegroup": "C2/m", "dft_energy_ev_per_atom": -4.486, "crystal_system": "monoclinic", "e_form_raw_mev_per_atom": -1415, "lattice": [[3.796, -6.575, 0.000], [3.796, 6.575, 0.000], [-2.529, 0.000, 8.386]], "species": ["Cs", "Cs", "Cs", "Pm", "Pm", "Bi", "Se", "Se", "Se", "Se", "Se", "Se"], "frac_coords": [[0.000, 0.000, 0.000], [0.334, 0.666, 0.000], [0.666, 0.334, 0.000], [0.167, 0.833, 0.500], [0.833, 0.167, 0.500], [0.500, 0.500, 0.500], [0.101, 0.437, 0.310], [0.228, 0.228, 0.690], [0.437, 0.101, 0.310], [0.563, 0.899, 0.690], [0.772, 0.772, 0.310], [0.899, 0.563, 0.690]]}



[4]
{"formula": "Cs2PmBiSe4", "functional": "PBE", "state": "relaxed", "spacegroup": "Imma", "dft_energy_ev_per_atom": -4.227, "crystal_system": "orthorhombic", "e_form_raw_mev_per_atom": -1192, "lattice": [[-4.573, 4.656, 6.526], [4.573, -4.656, 6.526], [4.573, 4.656, -6.526]], "species": ["Cs", "Cs", "Cs", "Cs", "Pm", "Pm", "Bi", "Bi", "Se", "Se", "Se", "Se", "Se", "Se", "Se", "Se"], "frac_coords": [[0.000, 0.000, 0.000], [0.500, 0.000, 0.000], [0.500, 0.000, 0.500], [0.500, 0.500, 0.500], [0.000, 0.000, 0.500], [0.000, 0.500, 0.000], [0.000, 0.500, 0.500], [0.500, 0.500, 0.000], [0.191, 0.732, 0.460], [0.228, 0.268, 0.960], [0.230, 0.266, 0.536], [0.230, 0.694, 0.964], [0.770, 0.306, 0.036], [0.770, 0.734, 0.464], [0.772, 0.732, 0.040], [0.809, 0.268, 0.540]]}



[5]
{"formula": "Cs3Pm2BiTe6", "functional": "PBE", "state": "relaxed", "spacegroup": "C2/m", "dft_energy_ev_per_atom": -4.043, "crystal_system": "monoclinic", "e_form_raw_mev_per_atom": -1144, "lattice": [[4.038, -6.995, 0.000], [4.038, 6.995, 0.000], [-2.693, 0.000, 8.929]], "species": ["Cs", "Cs", "Cs", "Pm", "Pm", "Bi", "Te", "Te", "Te", "Te", "Te", "Te"], "frac_coords": [[0.000, 0.000, 0.000], [0.333, 0.667, 0.000], [0.667, 0.333, 0.000], [0.167, 0.833, 0.500], [0.833, 0.167, 0.500], [0.500, 0.500, 0.500], [0.103, 0.436, 0.307], [0.231, 0.231, 0.694], [0.436, 0.103, 0.307], [0.564, 0.897, 0.693], [0.769, 0.769, 0.306], [0.897, 0.564, 0.693]]}



[6]
{"formula": "CsPrBi", "functional": "PBE", "state": "relaxed", "formation_enthalpy_0k_mev_per_atom": -448, "spacegroup": "R-3m", "dft_energy_ev_per_atom": -3.620, "crystal_system": "trigonal", "lattice": [[2.668, 1.540, 14.536], [-2.668, 1.540, 14.536], [0.000, -3.081, 14.536]], "species": ["Cs", "Cs", "Pr", "Pr", "Bi", "Bi"], "frac_coords": [[0.109, 0.109, 0.109], [0.891, 0.891, 0.891], [0.306, 0.306, 0.306], [0.694, 0.694, 0.694], [0.384, 0.384, 0.384], [0.616, 0.616, 0.616]]}



[7]
{"formula": "Cs2PrBiS4", "functional": "PBE", "state": "relaxed", "spacegroup": "P2/m", "dft_energy_ev_per_atom": -4.644, "crystal_system": "monoclinic", "e_form_raw_mev_per_atom": -1284, "lattice": [[7.374, 0.000, 0.000], [0.000, 4.263, 0.000], [-2.459, 0.000, 8.083]], "species": ["Cs", "Cs", "Pr", "Bi", "S", "S", "S", "S"], "frac_coords": [[0.000, 0.000, 0.000], [0.500, 0.500, 0.000], [0.000, 0.500, 0.500], [0.500, 0.000, 0.500], [0.231, 0.000, 0.688], [0.271, 0.500, 0.311], [0.729, 0.500, 0.689], [0.769, 0.000, 0.312]]}



[8]
{"formula": "Cs3PrBi2S6", "functional": "PBE", "state": "relaxed", "spacegroup": "C2/m", "dft_energy_ev_per_atom": -4.434, "crystal_system": "monoclinic", "e_form_raw_mev_per_atom": -1112, "lattice": [[3.682, -6.377, 0.000], [3.682, 6.377, 0.000], [-2.453, 0.000, 8.077]], "species": ["Cs", "Cs", "Cs", "Pr", "Bi", "Bi", "S", "S", "S", "S", "S", "S"], "frac_coords": [[0.000, 0.000, 0.000], [0.333, 0.667, 0.000], [0.667, 0.333, 0.000], [0.500, 0.500, 0.500], [0.167, 0.833, 0.500], [0.833, 0.167, 0.500], [0.102, 0.437, 0.311], [0.228, 0.228, 0.689], [0.437, 0.102, 0.311], [0.563, 0.898, 0.689], [0.772, 0.772, 0.311], [0.898, 0.563, 0.689]]}



[9]
{"formula": "Cs2Pr2BiS6", "functional": "PBE", "state": "relaxed", "spacegroup": "C2/m", "dft_energy_ev_per_atom": -4.956, "crystal_system": "monoclinic", "e_form_raw_mev_per_atom": -1328, "lattice": [[3.625, -6.247, 0.000], [3.625, 6.247, 0.000], [-2.431, 0.000, 8.324]], "species": ["Cs", "Cs", "Pr", "Pr", "Bi", "S", "S", "S", "S", "S", "S"], "frac_coords": [[0.168, 0.832, 0.000], [0.832, 0.168, 0.000], [0.333, 0.667, 0.500], [0.667, 0.333, 0.500], [0.000, 0.000, 0.500], [0.061, 0.386, 0.683], [0.259, 0.259, 0.318], [0.386, 0.061, 0.683], [0.614, 0.939, 0.317], [0.741, 0.741, 0.682], [0.939, 0.614, 0.317]]}



[10]
{"formula": "Cs3Pr2BiSe6", "functional": "PBE", "state": "relaxed", "spacegroup": "C2/m", "dft_energy_ev_per_atom": -4.487, "crystal_system": "monoclinic", "e_form_raw_mev_per_atom": -1411, "lattice": [[3.831, -6.635, 0.000], [3.831, 6.635, 0.000], [-2.554, 0.000, 8.399]], "species": ["Cs", "Cs", "Cs", "Pr", "Pr", "Bi", "Se", "Se", "Se", "Se", "Se", "Se"], "frac_coords": [[0.000, 0.000, 0.000], [0.333, 0.667, 0.000], [0.667, 0.333, 0.000], [0.167, 0.833, 0.500], [0.833, 0.167, 0.500], [0.500, 0.500, 0.500], [0.104, 0.436, 0.308], [0.232, 0.232, 0.692], [0.436, 0.104, 0.308], [0.564, 0.896, 0.692], [0.768, 0.768, 0.308], [0.896, 0.564, 0.692]]}



[11]
{"formula": "Cs3Pr3BiSe8", "functional": "PBE", "state": "relaxed", "spacegroup": "C2/m", "dft_energy_ev_per_atom": -4.649, "crystal_system": "monoclinic", "e_form_raw_mev_per_atom": -1405, "lattice": [[7.554, -4.357, 0.000], [7.554, 4.357, 0.000], [-5.045, 0.000, 8.592]], "species": ["Cs", "Cs", "Cs", "Pr", "Pr", "Pr", "Bi", "Se", "Se", "Se", "Se", "Se", "Se", "Se", "Se"], "frac_coords": [[0.000, 0.000, 0.000], [0.000, 0.500, 0.000], [0.500, 0.000, 0.000], [0.000, 0.500, 0.500], [0.500, 0.000, 0.500], [0.500, 0.500, 0.500], [0.000, 0.000, 0.500], [0.226, 0.226, 0.688], [0.226, 0.736, 0.688], [0.264, 0.774, 0.312], [0.270, 0.270, 0.309], [0.730, 0.730, 0.691], [0.736, 0.226, 0.688], [0.774, 0.264, 0.312], [0.774, 0.774, 0.312]]}



[12]
{"formula": "Cs3Pr3BiTe8", "functional": "PBE", "state": "relaxed", "spacegroup": "C2/m", "dft_energy_ev_per_atom": -4.185, "crystal_system": "monoclinic", "e_form_raw_mev_per_atom": -1125, "lattice": [[7.987, -4.601, 0.000], [7.987, 4.601, 0.000], [-5.336, 0.000, 9.211]], "species": ["Cs", "Cs", "Cs", "Pr", "Pr", "Pr", "Bi", "Te", "Te", "Te", "Te", "Te", "Te", "Te", "Te"], "frac_coords": [[0.000, 0.000, 0.000], [0.000, 0.500, 0.000], [0.500, 0.000, 0.000], [0.000, 0.500, 0.500], [0.500, 0.000, 0.500], [0.500, 0.500, 0.500], [0.000, 0.000, 0.500], [0.230, 0.230, 0.694], [0.230, 0.733, 0.693], [0.267, 0.267, 0.302], [0.267, 0.770, 0.307], [0.733, 0.230, 0.693], [0.733, 0.733, 0.698], [0.770, 0.267, 0.307], [0.770, 0.770, 0.306]]}



[13]
{"formula": "Cs3PrBi2Te6", "functional": "PBE", "state": "relaxed", "spacegroup": "C2/m", "dft_energy_ev_per_atom": -3.712, "crystal_system": "monoclinic", "e_form_raw_mev_per_atom": -882, "lattice": [[4.056, -7.025, 0.000], [4.056, 7.025, 0.000], [-2.706, 0.000, 8.941]], "species": ["Cs", "Cs", "Cs", "Pr", "Bi", "Bi", "Te", "Te", "Te", "Te", "Te", "Te"], "frac_coords": [[0.000, 0.000, 0.000], [0.334, 0.666, 0.000], [0.666, 0.334, 0.000], [0.500, 0.500, 0.500], [0.167, 0.833, 0.500], [0.833, 0.167, 0.500], [0.098, 0.435, 0.306], [0.227, 0.227, 0.693], [0.435, 0.098, 0.306], [0.565, 0.902, 0.694], [0.773, 0.773, 0.307], [0.902, 0.565, 0.694]]}



[14]
{"formula": "CsBiPt2", "functional": "PBE", "state": "relaxed", "formation_enthalpy_0k_mev_per_atom": 212, "spacegroup": "I-42d", "dft_energy_ev_per_atom": -3.992, "crystal_system": "tetragonal", "lattice": [[8.099, 0.000, 0.000], [0.000, 8.099, 0.000], [0.000, 0.000, 8.975]], "species": ["Cs", "Cs", "Cs", "Cs", "Bi", "Bi", "Bi", "Bi", "Pt", "Pt", "Pt", "Pt", "Pt", "Pt", "Pt", "Pt"], "frac_coords": [[0.000, 0.000, 0.000], [0.000, 0.500, 0.250], [0.500, 0.000, 0.750], [0.500, 0.500, 0.500], [0.000, 0.000, 0.500], [0.000, 0.500, 0.750], [0.500, 0.000, 0.250], [0.500, 0.500, 0.000], [0.155, 0.250, 0.625], [0.250, 0.655, 0.875], [0.250, 0.845, 0.375], [0.345, 0.250, 0.125], [0.655, 0.750, 0.125], [0.750, 0.155, 0.375], [0.750, 0.345, 0.875], [0.845, 0.750, 0.625]]}



[15]
{"formula": "CsBi4Pt", "functional": "PBE", "state": "relaxed", "formation_enthalpy_0k_mev_per_atom": -143, "spacegroup": "C2/m", "dft_energy_ev_per_atom": -3.880, "crystal_system": "monoclinic", "lattice": [[10.047, -3.590, 0.000], [10.047, 3.590, 0.000], [-1.786, 0.000, 6.856]], "species": ["Cs", "Cs", "Bi", "Bi", "Bi", "Bi", "Bi", "Bi", "Bi", "Bi", "Pt", "Pt"], "frac_coords": [[0.201, 0.201, 0.172], [0.799, 0.799, 0.828], [0.184, 0.614, 0.365], [0.259, 0.741, 0.000], [0.351, 0.351, 0.718], [0.386, 0.816, 0.635], [0.614, 0.184, 0.365], [0.649, 0.649, 0.282], [0.741, 0.259, 0.000], [0.816, 0.386, 0.635], [0.484, 0.484, 0.682], [0.516, 0.516, 0.318]]}



[16]
{"formula": "CsBi2Pt", "functional": "PBE", "state": "relaxed", "formation_enthalpy_0k_mev_per_atom": -177, "spacegroup": "Immm", "e_above_lowest_polymorph_mev_per_atom": 153.9, "dft_energy_ev_per_atom": -3.841, "crystal_system": "orthorhombic", "lattice": [[-2.693, 5.102, 9.494], [2.693, -5.102, 9.494], [2.693, 5.102, -9.494]], "species": ["Cs", "Cs", "Cs", "Cs", "Bi", "Bi", "Bi", "Bi", "Bi", "Bi", "Bi", "Bi", "Pt", "Pt", "Pt", "Pt"], "frac_coords": [[0.199, 0.199, 0.000], [0.253, 0.000, 0.253], [0.747, 0.000, 0.747], [0.801, 0.801, 0.000], [0.080, 0.580, 0.500], [0.142, 0.800, 0.342], [0.409, 0.409, 0.000], [0.459, 0.800, 0.658], [0.541, 0.200, 0.342], [0.591, 0.591, 0.000], [0.858, 0.200, 0.658], [0.920, 0.420, 0.500], [0.098, 0.343, 0.754], [0.411, 0.657, 0.754], [0.589, 0.343, 0.246], [0.902, 0.657, 0.246]]}



[17]
{"formula": "Cs2Bi5Pt4", "functional": "PBE", "state": "relaxed", "formation_enthalpy_0k_mev_per_atom": -181, "spacegroup": "C2/m", "dft_energy_ev_per_atom": -4.297, "crystal_system": "monoclinic", "lattice": [[6.875, -3.514, 0.000], [6.875, 3.514, 0.000], [-3.392, 0.000, 7.498]], "species": ["Cs", "Cs", "Bi", "Bi", "Bi", "Bi", "Bi", "Pt", "Pt", "Pt", "Pt"], "frac_coords": [[0.154, 0.154, 0.008], [0.846, 0.846, 0.992], [0.107, 0.626, 0.457], [0.374, 0.893, 0.543], [0.500, 0.500, 0.000], [0.626, 0.107, 0.457], [0.893, 0.374, 0.543], [0.322, 0.322, 0.674], [0.458, 0.458, 0.299], [0.542, 0.542, 0.701], [0.678, 0.678, 0.326]]}



[18]
{"formula": "Cs3Bi2Pt", "functional": "PBE", "state": "relaxed", "formation_enthalpy_0k_mev_per_atom": -283, "spacegroup": "Ibam", "dft_energy_ev_per_atom": -3.010, "crystal_system": "orthorhombic", "lattice": [[-5.035, 7.753, 3.989], [5.035, -7.753, 3.989], [5.035, 7.753, -3.989]], "species": ["Cs", "Cs", "Cs", "Cs", "Cs", "Cs", "Bi", "Bi", "Bi", "Bi", "Pt", "Pt"], "frac_coords": [[0.193, 0.647, 0.839], [0.250, 0.250, 0.000], [0.307, 0.147, 0.454], [0.693, 0.853, 0.546], [0.750, 0.750, 0.000], [0.807, 0.353, 0.161], [0.051, 0.325, 0.376], [0.449, 0.825, 0.274], [0.551, 0.175, 0.726], [0.949, 0.675, 0.624], [0.250, 0.750, 0.500], [0.750, 0.250, 0.500]]}



[19]
{"formula": "CsBiPt2", "functional": "PBE", "state": "relaxed", "formation_enthalpy_0k_mev_per_atom": -34, "spacegroup": "Cm", "dft_energy_ev_per_atom": -4.238, "crystal_system": "monoclinic", "lattice": [[5.683, 0.000, 0.000], [0.000, 5.685, 0.000], [-2.838, 0.000, 7.785]], "species": ["Cs", "Cs", "Bi", "Bi", "Pt", "Pt", "Pt", "Pt"], "frac_coords": [[0.000, 0.000, 0.000], [0.500, 0.500, 0.000], [0.309, 0.000, 0.616], [0.809, 0.500, 0.616], [0.442, 0.250, 0.383], [0.442, 0.750, 0.383], [0.942, 0.250, 0.383], [0.942, 0.750, 0.383]]}



[20]
{"formula": "Cs2BiPt", "functional": "PBE", "state": "relaxed", "formation_enthalpy_0k_mev_per_atom": -269, "spacegroup": "P2_1/m", "e_above_lowest_polymorph_mev_per_atom": 17.1, "dft_energy_ev_per_atom": -3.176, "crystal_system": "monoclinic", "lattice": [[6.923, 0.000, 0.000], [0.000, 4.964, 0.000], [-1.697, 0.000, 10.807]], "species": ["Cs", "Cs", "Cs", "Cs", "Bi", "Bi", "Pt", "Pt"], "frac_coords": [[0.223, 0.250, 0.438], [0.261, 0.750, 0.091], [0.739, 0.250, 0.909], [0.777, 0.750, 0.562], [0.305, 0.750, 0.740], [0.695, 0.250, 0.260], [0.179, 0.250, 0.767], [0.821, 0.750, 0.233]]}